VASP calculation (PBE) on InNiCl2 after structural relaxation.

Lattice parameters (Å, degrees): 3.411 6.685 9.031 90.00 90.00 90.00
Space group Cmm2 (No. 35)
Unique sites:
In  0.000  0.000  0.000 (multiplicity 2)
Ni  0.000  0.500  0.777 (multiplicity 2)
Cl  0.000  0.000  0.619 (multiplicity 2)
Cl  0.000  0.500  0.216 (multiplicity 2)

Summary:
Total energy ... -0.1234 hartree per atom
DOS at the Fermi energy ... 0.473 states/eV per atom
Formation energy (no corrections) ... -0.305 eV/atom
Relative energy among the computed polymorphs ... 3.867 kcal/mol of atoms

VASP calculation (PBE) on Tb12HoTh2 after structural relaxation.

Lattice parameters (Å, degrees): 3.541 5.595 24.547 90.00 94.10 90.00
Space group P2/m (No. 10)
Unique sites:
Tb  0.038  0.000  0.073 (multiplicity 2)
Tb  0.225  0.000  0.445 (multiplicity 2)
Tb  0.287  0.500  0.578 (multiplicity 2)
Tb  0.333  0.000  0.670 (multiplicity 2)
Tb  0.398  0.000  0.799 (multiplicity 2)
Tb  0.429  0.500  0.864 (multiplicity 2)
Ho  0.500  0.500  0.000 (multiplicity 1)
Th  0.137  0.500  0.271 (multiplicity 2)

Summary:
Total energy ... -0.1792 hartree per atom
DOS at the Fermi energy ... 1.435 states/eV per atom
Formation enthalpy at 0 K ... 0.122 eV/atom

VASP calculation (PBE) on VTeCl2 after structural relaxation.

Lattice parameters (Å, degrees): 3.4312 3.4312 34.5213 90.00 90.00 120.00
Space group R-3m (No. 166, hexagonal axes)
Unique sites:
V  0.0000  0.0000  0.0000 (multiplicity 3)
Te  0.0000  0.0000  0.5000 (multiplicity 3)
Cl  0.0000  0.0000  0.3750 (multiplicity 6)

Summary:
Total energy ... -0.1710 hartree per atom
DOS at the Fermi energy ... 0.992 states/eV per atom
Formation energy (no corrections) ... -0.664 eV/atom
Relative energy among the computed polymorphs ... 0.000 kcal/mol of atoms

VASP calculation (PBE) on Rb2TcAuI6 after structural relaxation.

Lattice parameters (Å, degrees): 8.605 8.605 11.670 90.00 90.00 90.00
Space group I4/mmm (No. 139)
Unique sites:
Rb  0.000  0.500  0.250 (multiplicity 4)
Tc  0.000  0.000  0.000 (multiplicity 2)
Au  0.000  0.000  0.500 (multiplicity 2)
I  0.000  0.000  0.273 (multiplicity 4)
I  0.225  0.225  0.000 (multiplicity 8)

Summary:
Total energy ... -0.1113 hartree per atom
DOS at the Fermi energy ... 0.000 states/eV per atom
Formation energy (no corrections) ... -0.539 eV/atom

VASP calculation (PBE) on Li9MgAg2 after structural relaxation.

Lattice parameters (Å, degrees): 4.147 4.147 12.469 90.00 90.00 90.00
Space group P4/mmm (No. 123)
Unique sites:
Li  0.000  0.000  0.000 (multiplicity 1)
Li  0.000  0.000  0.341 (multiplicity 2)
Li  0.000  0.500  0.183 (multiplicity 4)
Li  0.000  0.500  0.500 (multiplicity 2)
Mg  0.500  0.500  0.000 (multiplicity 1)
Ag  0.500  0.500  0.341 (multiplicity 2)

Summary:
Total energy ... -0.0788 hartree per atom
DOS at the Fermi energy ... 0.312 states/eV per atom
Relative energy among the computed polymorphs ... 0.000 kcal/mol of atoms
Formation enthalpy at 0 K ... -0.102 eV/atom

VASP calculation (PBE) on Mn5Be2V2Cr after structural relaxation.

Lattice parameters (Å, degrees): 8.589 8.589 2.997 90.00 90.00 90.00
Space group P4/mbm (No. 127)
Unique sites:
Mn  0.000  0.500  0.000 (multiplicity 2)
Mn  0.068  0.204  0.000 (multiplicity 8)
Be  0.126  0.374  0.500 (multiplicity 4)
V  0.170  0.670  0.500 (multiplicity 4)
Cr  0.000  0.000  0.500 (multiplicity 2)

Summary:
Total energy ... -0.2993 hartree per atom
DOS at the Fermi energy ... 0.532 states/eV per atom
Formation enthalpy at 0 K ... -0.028 eV/atom